Below is MnCo2Ag after structural relaxation, with properties calculated at the PBE level.

- E_form: 0.277 eV/atom
- Relative energy among the computed polymorphs: 68.2 meV/atom
- Energy: -0.462 Ry per atom

a b c (Å): 2.859 2.859 6.318
angles (deg): 90.00 90.00 90.00
Space group P4/mmm (No. 123)
Symmetry-distinct sites (fractional):
1 Mn 0.000 0.000 0.000
2 Co 0.500 0.500 0.207
3 Ag 0.000 0.000 0.500

=====

Below is MnCo2Ag after structural relaxation, with properties calculated at the PBE level.

- E_form: 0.313 eV/atom
- Relative energy among the computed polymorphs: 103.8 meV/atom
- Energy: -0.459 Ry per atom

a b c (Å): 2.6966 2.6966 25.7919
angles (deg): 90.00 90.00 120.00
Space group R3m (No. 160, hexagonal axes)
Symmetry-distinct sites (fractional):
1 Mn 0.0000 0.0000 0.0000
2 Co 0.0000 0.0000 0.4839
3 Co 0.0000 0.0000 0.7445
4 Ag 0.0000 0.0000 0.2409

=====

Below is MnCo2Ag after structural relaxation, with properties calculated at the PBE level.

- E_form: 0.209 eV/atom
- Relative energy among the computed polymorphs: 0.0 meV/atom
- Energy: -0.467 Ry per atom

a b c (Å): 2.800 2.800 6.954
angles (deg): 90.00 90.00 90.00
Space group P4mm (No. 99)
Symmetry-distinct sites (fractional):
1 Mn 0.000 0.000 0.000
2 Co 0.000 0.000 0.575
3 Co 0.500 0.500 0.768
4 Ag 0.500 0.500 0.296